First-principles (GGA-PBE) data for crystalline CsLiCd2F8 at its relaxed geometry, as listed in the Alexandria database.

Properties
SG = No. 2
formation energy from raw total energies = -23.10 eV/f.u.

a b c (Å): 4.4356 5.7897 7.1189
angles (deg): 79.26 87.68 95.59
Fractional positions:
Cs1 0.0000 0.0000 0.5000
F1 0.0440 0.6798 0.2106
F2 0.4783 0.7191 0.4990
F3 0.7733 0.0862 0.2337
F4 0.9560 0.3202 0.7894
Li1 0.0000 0.0000 0.0000
F5 0.5217 0.2809 0.5010
F6 0.2267 0.9138 0.7663
F7 0.6368 0.7480 0.9315
Cd1 0.4764 0.4436 0.7689
F8 0.3632 0.2520 0.0685
Cd2 0.5236 0.5564 0.2311